## Cu2AgPd2 (PBE-GGA)

Data for an optimized crystal structure of Cu2AgPd2.

Computed properties:
Calculated density in g/cm3: 9.76
Space group: P4/mbm (127)
Formation enthalpy at 0 K in eV per atom: 0.0266
DFT total energy in eV/atom: -4.259

```
10
Lattice="7.3173 0.0000 0.0000 0.0000 7.3173 0.0000 0.0000 0.0000 2.8473" Properties=species:S:1:pos:R:3 pbc="T T T"
Cu 1.1773 2.4813 0.0000
Cu 2.4813 6.1400 0.0000
Cu 4.8360 1.1773 0.0000
Cu 6.1400 4.8360 0.0000
Ag 0.0000 0.0000 1.4236
Ag 3.6587 3.6587 1.4236
Pd 0.9904 4.6491 1.4236
Pd 2.6683 0.9904 1.4236
Pd 4.6491 6.3269 1.4236
Pd 6.3269 2.6683 1.4236
```